# 1
VASP calculation (GGA-PBE) on a relaxed structure of Tc3RhSe.

For the electronic total energy, the calculation gives -35.59 eV/cell.

The structure belongs to space group Pm-3m (No. 221); the cell edges are 4.4805, 4.4805 and 4.4805 Å and the angles 90.00°, 90.00° and 90.00°. Symmetry generates all atoms from Tc at (0.0000, 0.0000, 0.5000), Rh at (0.5000, 0.5000, 0.5000) and Se at (0.0000, 0.0000, 0.0000).

---

# 2
VASP calculation (GGA-PBE) on a relaxed structure of TcRhSe2.

For the electronic total energy, the calculation gives -25.12 eV/cell.

The structure belongs to space group Pm (No. 6); the cell edges are 3.1628, 3.7339 and 6.3374 Å and the angles 90.00°, 90.32° and 90.00°. Symmetry generates all atoms from Tc at (0.0000, 0.0000, 0.0000), Rh at (0.5029, 0.5000, 0.2410), Se at (0.0045, 0.0000, 0.3789) and Se at (0.4985, 0.5000, 0.8523).

---

# 3
VASP calculation (GGA-PBE) on a relaxed structure of TcRhSe2.

For the electronic total energy, the calculation gives -47.95 eV/cell.

The structure belongs to space group Imm2 (No. 44); the cell edges are 3.1080, 4.3596 and 9.7589 Å and the angles 90.00°, 90.00° and 90.00°. Symmetry generates all atoms from Tc at (0.0000, 0.0000, 0.0000), Rh at (0.0000, 0.5000, 0.7947), Se at (0.0000, 0.0000, 0.5159) and Se at (0.0000, 0.5000, 0.2953).

---

# 4
VASP calculation (GGA-PBE) on a relaxed structure of TcRhSe2.

For the electronic total energy, the calculation gives -89.06 eV/cell.

The structure belongs to space group F-43m (No. 216); the cell edges are 6.4230, 6.4230 and 6.4230 Å and the angles 90.00°, 90.00° and 90.00°. Symmetry generates all atoms from Tc at (0.0000, 0.0000, 0.0000), Rh at (0.2500, 0.2500, 0.7500), Se at (0.0000, 0.0000, 0.5000) and Se at (0.2500, 0.2500, 0.2500).

---

# 5
VASP calculation (GGA-PBE) on a relaxed structure of TcRhSe2.

For the electronic total energy, the calculation gives -24.40 eV/cell.

The structure belongs to space group P4/mmm (No. 123); the cell edges are 3.1465, 3.1465 and 6.3024 Å and the angles 90.00°, 90.00° and 90.00°. Symmetry generates all atoms from Tc at (0.0000, 0.0000, 0.0000), Rh at (0.0000, 0.0000, 0.5000) and Se at (0.5000, 0.5000, 0.2438).

---

# 6
VASP calculation (GGA-PBE) on a relaxed structure of TcRhSe2.

For the electronic total energy, the calculation gives -22.78 eV/cell.

The structure belongs to space group Pmmm (No. 47); the cell edges are 3.0421, 4.0851 and 5.4422 Å and the angles 90.00°, 90.00° and 90.00°. Symmetry generates all atoms from Tc at (0.0000, 0.0000, 0.0000), Rh at (0.5000, 0.0000, 0.5000), Se at (0.0000, 0.5000, 0.5000) and Se at (0.5000, 0.5000, 0.0000).

---

# 7
VASP calculation (GGA-PBE) on a relaxed structure of TcRhSe2.

For the electronic total energy, the calculation gives -46.70 eV/cell.

The structure belongs to space group C2/m (No. 12); the cell edges are 6.1404, 8.1748 and 2.7381 Å and the angles 90.00°, 90.21° and 90.00°. Symmetry generates all atoms from Tc at (0.0000, 0.0000, 0.0000), Rh at (0.0000, 0.5000, 0.0000) and Se at (0.2500, 0.2500, 0.0000).

---

# 8
VASP calculation (GGA-PBE) on a relaxed structure of TcRhSe4.

For the electronic total energy, the calculation gives -97.33 eV/cell.

The structure belongs to space group F-43m (No. 216); the cell edges are 7.8401, 7.8401 and 7.8401 Å and the angles 90.00°, 90.00° and 90.00°. Symmetry generates all atoms from Tc at (0.0000, 0.0000, 0.0000), Rh at (0.2500, 0.2500, 0.7500) and Se at (0.1240, 0.1240, 0.3760).